AcPm2Sm PBE optimized geometry; E above lowest polymorph = 9 meV per atom; uncorrected energy = -4.54 eV/atom; energy of formation = 0.04 eV per atom
1.0
-0.509 2.315 2.904
-1.524 -1.283 3.175
10.327 -2.445 6.180
Ac Sm Pm
1 1 2
direct
0.500 0.500 0.500 Ac
0.000 0.000 0.000 Sm
0.253 0.253 0.242 Pm
0.747 0.747 0.758 Pm

=====

Sc2CdCo PBE optimized geometry; uncorrected energy = -5.31 eV/atom; energy of formation = -0.14 eV per atom
1.0
3.586 0.000 0.000
0.000 3.691 0.045
0.000 1.768 6.107
Cd Sc Co
1 2 1
direct
0.000 0.685 0.504 Cd
0.000 0.983 0.910 Sc
0.500 0.315 0.244 Sc
0.500 0.517 0.842 Co

=====

Zn2TcRhI PBE optimized geometry; formation energy without anion corrections = 0.66 eV per atom; uncorrected energy = -3.70 eV/atom
1.0
4.858 0.000 0.000
0.000 4.792 0.000
0.000 0.000 4.858
Zn Rh Tc I
2 1 1 1
direct
0.500 0.000 0.000 Zn
0.000 0.000 0.500 Zn
0.000 0.000 0.000 Rh
0.000 0.500 0.000 Tc
0.500 0.500 0.500 I

=====

Na6CdAu2 PBE optimized geometry; E above lowest polymorph = 95 meV per atom; uncorrected energy = -1.82 eV/atom; energy of formation = -0.11 eV per atom
1.0
5.030 0.000 -0.203
0.000 7.230 0.000
-2.245 -3.615 7.655
Au Na Cd
2 6 1
direct
0.668 0.669 0.338 Au
0.332 0.331 0.662 Au
0.828 0.087 0.654 Na
0.172 0.913 0.346 Na
0.828 0.567 0.654 Na
0.172 0.433 0.346 Na
0.500 0.269 0.000 Na
0.500 0.731 0.000 Na
0.000 0.000 0.000 Cd

=====

SrSc2Zn PBE optimized geometry; uncorrected energy = -3.65 eV/atom; energy of formation = 0.25 eV per atom
1.0
5.619 0.000 0.001
-2.767 5.970 0.000
0.084 0.928 3.198
Zn Sc Sr
1 2 1
direct
0.500 0.500 0.000 Zn
0.000 0.000 0.000 Sc
0.500 0.000 0.500 Sc
0.000 0.500 0.500 Sr

=====

Ga3OsAu PBE optimized geometry; E above lowest polymorph = 0 meV per atom; uncorrected energy = -4.50 eV/atom; energy of formation = 0.21 eV per atom
1.0
-1.580 -3.586 -2.767
2.931 -3.044 2.271
-3.453 -0.943 3.193
Au Os Ga
1 1 3
direct
0.500 0.500 0.500 Au
0.000 0.000 0.000 Os
0.000 0.500 0.000 Ga
0.000 0.000 0.500 Ga
0.500 0.000 0.000 Ga